(1)
The following is a DFT calculation (GGA-PBE) of a relaxed Rb2TbUSe4 crystal.

ρ in g/cm3: 5.8
SG: P2/m (10)
DOS(E_F) in states/eV/f.u.: 7.584

Cell lengths 7.3873, 4.2646, 8.3962 Å; angles 90.00, 107.06, 90.00 degrees
Last column: nearest neighbours and their distance in Å.
Element x y z (fractional)
Rb: 0.0000 0.0000 0.0000  6 Se 3.45-3.46
Rb: 0.5000 0.5000 0.0000  6 Se 3.46
Tb: 0.0000 0.5000 0.5000  6 Se 2.92
U: 0.5000 0.0000 0.5000  6 Se 2.93-2.94
Se: 0.2312 0.0000 0.6973  2 Tb 2.92, 1 U 2.94
Se: 0.2665 0.5000 0.3025  1 Tb 2.92, 2 U 2.93
Se: 0.7335 0.5000 0.6975  1 Tb 2.92, 2 U 2.93
Se: 0.7688 0.0000 0.3027  2 Tb 2.92, 1 U 2.94

(2)
The following is a DFT calculation (GGA-PBE) of a relaxed NdY4Te5 crystal.

ρ in g/cm3: 6.3
SG: C2/m (12)
DOS(E_F) in states/eV/f.u.: 5.385

Cell lengths 7.6240, 7.6240, 10.7688 Å; angles 118.28, 118.28, 33.42 degrees
Last column: nearest neighbours and their distance in Å.
Element x y z (fractional)
Nd: 0.0000 0.0000 0.0000  6 Te 3.17-3.18
Y: 0.2054 0.2054 0.8002  6 Te 3.07-3.14
Y: 0.4018 0.4018 0.6063  6 Te 3.06-3.13
Y: 0.5982 0.5982 0.3937  6 Te 3.06-3.13
Y: 0.7946 0.7946 0.1998  6 Te 3.07-3.14
Te: 0.0000 0.0000 0.5000  6 Y 3.13-3.14
Te: 0.2037 0.2037 0.3078  5 Y 3.07-3.08, 1 Nd 3.17
Te: 0.3951 0.3951 0.1041  4 Y 3.06-3.08, 2 Nd 3.18
Te: 0.6049 0.6049 0.8959  4 Y 3.06-3.08, 2 Nd 3.18
Te: 0.7963 0.7963 0.6922  5 Y 3.07-3.08, 1 Nd 3.17

(3)
The following is a DFT calculation (GGA-PBE) of a relaxed Sr2LiGa4Au3 crystal.

ρ in g/cm3: 8.0
SG: P-4m2 (115)
DOS(E_F) in states/eV/f.u.: 5.341
DFT formation energy in eV per atom: -0.5490

Cell lengths 4.4707, 4.4707, 10.9633 Å; angles 90.00, 90.00, 90.00 degrees
Last column: nearest neighbours and their distance in Å.
Element x y z (fractional)
Sr: 0.0000 0.5000 0.2480  6 Au 3.40-3.55, 8 Ga 3.44-3.52, 2 Li 3.55
Sr: 0.5000 0.0000 0.7520  6 Au 3.40-3.55, 8 Ga 3.44-3.52, 2 Li 3.55
Li: 0.0000 0.0000 0.5000  4 Ga 2.64
Ga: 0.0000 0.0000 0.0000  4 Au 2.68
Ga: 0.0000 0.5000 0.6288  3 Au 2.60-2.64, 2 Li 2.64
Ga: 0.5000 0.0000 0.3712  3 Au 2.60-2.64, 2 Li 2.64
Ga: 0.5000 0.5000 0.0000  4 Au 2.68
Au: 0.0000 0.5000 0.8657  5 Ga 2.60-2.68
Au: 0.5000 0.0000 0.1343  5 Ga 2.60-2.68
Au: 0.5000 0.5000 0.5000  4 Ga 2.64

(4)
The following is a DFT calculation (GGA-PBE) of a relaxed AsWBr2 crystal.

ρ in g/cm3: 6.6
SG: C2/m (12)
DOS(E_F) in states/eV/f.u.: 2.376

Cell lengths 8.2224, 8.2224, 4.2612 Å; angles 104.87, 104.87, 22.14 degrees
Last column: nearest neighbours and their distance in Å.
Element x y z (fractional)
As: 0.0000 0.0000 0.0000  4 W 2.65
W: 0.5000 0.5000 0.5000  4 As 2.65, 4 Br 2.73
Br: 0.1428 0.1428 0.6414  2 W 2.73
Br: 0.8572 0.8572 0.3586  2 W 2.73

(5)
The following is a DFT calculation (GGA-PBE) of a relaxed TlPO2F crystal.

ρ in g/cm3: 5.9
SG: P4/mmm (123)
DOS(E_F) in states/eV/f.u.: 2.491

Cell lengths 4.3235, 4.3235, 4.3342 Å; angles 90.00, 90.00, 90.00 degrees
Last column: nearest neighbours and their distance in Å.
Element x y z (fractional)
Tl: 0.0000 0.0000 0.0000  4 O 2.16, 2 F 2.17
P: 0.5000 0.5000 0.5000  4 F 3.06, 8 O 3.06
O: 0.0000 0.5000 0.0000  2 Tl 2.16
O: 0.5000 0.0000 0.0000  2 Tl 2.16
F: 0.0000 0.0000 0.5000  2 Tl 2.17

(6)
The following is a DFT calculation (GGA-PBE) of a relaxed ScSiIN2 crystal.

ρ in g/cm3: 3.7
SG: P4/mmm (123)
DOS(E_F) in states/eV/f.u.: 3.885

Cell lengths 4.1623, 4.1623, 5.8449 Å; angles 90.00, 90.00, 90.00 degrees
Last column: nearest neighbours and their distance in Å.
Element x y z (fractional)
Sc: 0.0000 0.0000 0.0000  4 N 2.08
Si: 0.5000 0.5000 0.5000  4 I 2.94
I: 0.0000 0.0000 0.5000  2 Sc 2.92, 4 Si 2.94
N: 0.0000 0.5000 0.0000  2 Sc 2.08
N: 0.5000 0.0000 0.0000  2 Sc 2.08

(7)
The following is a DFT calculation (GGA-PBE) of a relaxed CaSm8Er6 crystal.

ρ in g/cm3: 7.6
SG: R-3 (148)
DOS(E_F) in states/eV/f.u.: 20.257
DFT formation energy in eV per atom: 0.1851

Cell lengths 8.2109, 8.2109, 8.2109 Å; angles 72.26, 72.26, 72.26 degrees
Last column: nearest neighbours and their distance in Å.
Element x y z (fractional)
Ca: 0.0000 0.0000 0.0000  6 Sm 3.09
Sm: 0.0514 0.3793 0.8625  1 Ca 3.09, 2 Sm 3.21-3.36, 2 Er 3.38-3.43
Sm: 0.1375 0.9486 0.6207  1 Ca 3.09, 2 Sm 3.21-3.36, 2 Er 3.38-3.43
Sm: 0.2402 0.2402 0.2402  6 Sm 3.36-3.61, 6 Er 3.75
Sm: 0.3793 0.8625 0.0514  1 Ca 3.09, 2 Sm 3.21-3.36, 2 Er 3.38-3.43
Sm: 0.6207 0.1375 0.9486  1 Ca 3.09, 2 Sm 3.21-3.36, 2 Er 3.38-3.43
Sm: 0.7598 0.7598 0.7598  6 Sm 3.36-3.61, 6 Er 3.75
Sm: 0.8625 0.0514 0.3793  1 Ca 3.09, 2 Sm 3.21-3.36, 2 Er 3.38-3.43
Sm: 0.9486 0.6207 0.1375  1 Ca 3.09, 2 Sm 3.21-3.36, 2 Er 3.38-3.43
Er: 0.1769 0.6174 0.4370  7 Sm 3.38-3.75, 3 Er 3.69-3.71
Er: 0.3826 0.5630 0.8231  7 Sm 3.38-3.75, 3 Er 3.69-3.71
Er: 0.4370 0.1769 0.6174  7 Sm 3.38-3.75, 3 Er 3.69-3.71
Er: 0.5630 0.8231 0.3826  7 Sm 3.38-3.75, 3 Er 3.69-3.71
Er: 0.6174 0.4370 0.1769  7 Sm 3.38-3.75, 3 Er 3.69-3.71
Er: 0.8231 0.3826 0.5630  7 Sm 3.38-3.75, 3 Er 3.69-3.71

(8)
The following is a DFT calculation (GGA-PBE) of a relaxed SmGe6S8 crystal.

ρ in g/cm3: 3.7
SG: R-3 (148)
DOS(E_F) in states/eV/f.u.: 6.713

Cell lengths 7.3499, 7.3499, 7.3499 Å; angles 78.36, 78.36, 78.36 degrees
Last column: nearest neighbours and their distance in Å.
Element x y z (fractional)
Sm: 0.0000 0.0000 0.0000  6 S 2.81
Ge: 0.1347 0.6002 0.3612  3 S 2.42-2.47
Ge: 0.3612 0.1347 0.6002  3 S 2.42-2.47
Ge: 0.3998 0.6388 0.8653  3 S 2.42-2.47
Ge: 0.6002 0.3612 0.1347  3 S 2.42-2.47
Ge: 0.6388 0.8653 0.3998  3 S 2.42-2.47
Ge: 0.8653 0.3998 0.6388  3 S 2.42-2.47
S: 0.1351 0.3282 0.8005  2 Ge 2.42-2.43
S: 0.1995 0.8649 0.6718  2 Ge 2.42-2.43
S: 0.2861 0.2861 0.2861  3 Ge 2.47
S: 0.3282 0.8005 0.1351  2 Ge 2.42-2.43
S: 0.6718 0.1995 0.8649  2 Ge 2.42-2.43
S: 0.7139 0.7139 0.7139  3 Ge 2.47
S: 0.8005 0.1351 0.3282  2 Ge 2.42-2.43
S: 0.8649 0.6718 0.1995  2 Ge 2.42-2.43

(9)
The following is a DFT calculation (GGA-PBE) of a relaxed Ba2ZrCu crystal.

ρ in g/cm3: 5.2
SG: Imm2 (44)
DOS(E_F) in states/eV/f.u.: 5.626
DFT formation energy in eV per atom: 0.3758

Cell lengths 7.1196, 7.1196, 7.1196 Å; angles 149.61, 131.34, 58.46 degrees
Last column: nearest neighbours and their distance in Å.
Element x y z (fractional)
Ba: 0.0000 0.0000 0.0000  4 Cu 3.52, 4 Ba 3.73-3.86, 2 Zr 3.79
Ba: 0.7024 0.2024 0.5000  2 Cu 3.57, 4 Zr 3.71, 4 Ba 3.73-3.86
Zr: 0.3064 0.8064 0.5000  2 Cu 2.65
Cu: 0.4578 0.4578 0.0000  2 Zr 2.65

(10)
The following is a DFT calculation (GGA-PBE) of a relaxed TlCu2F4 crystal.

ρ in g/cm3: 6.0
SG: I4_1/a (88)
DOS(E_F) in states/eV/f.u.: 3.432

Cell lengths 7.0189, 7.0189, 7.0189 Å; angles 124.56, 124.56, 82.26 degrees
Last column: nearest neighbours and their distance in Å.
Element x y z (fractional)
Tl: 0.3750 0.1250 0.2500  8 F 2.87-2.90
Tl: 0.6250 0.8750 0.7500  8 F 2.87-2.90
Cu: 0.0000 0.0000 0.5000  4 F 1.99-2.00
Cu: 0.0000 0.5000 0.0000  4 F 1.99-2.00
Cu: 0.0000 0.5000 0.5000  4 F 1.99-2.00
Cu: 0.5000 0.5000 0.0000  4 F 1.99-2.00
F: 0.0291 0.1658 0.3595  2 Cu 1.99-2.00
F: 0.1696 0.5291 0.3633  2 Cu 1.99-2.00
F: 0.3063 0.6696 0.1405  2 Cu 1.99-2.00
F: 0.3342 0.1937 0.8633  2 Cu 1.99-2.00
F: 0.6658 0.8063 0.1367  2 Cu 1.99-2.00
F: 0.6937 0.3304 0.8595  2 Cu 1.99-2.00
F: 0.8304 0.4709 0.6367  2 Cu 1.99-2.00
F: 0.9709 0.8342 0.6405  2 Cu 1.99-2.00

(11)
The following is a DFT calculation (GGA-PBE) of a relaxed Ag2Hg2O3 crystal.

ρ in g/cm3: 9.5
SG: P-1 (2)
DOS(E_F) in states/eV/f.u.: 1.968

Cell lengths 3.5517, 5.8852, 6.2617 Å; angles 112.19, 94.24, 103.30 degrees
Last column: nearest neighbours and their distance in Å.
Element x y z (fractional)
Ag: 0.1276 0.2609 0.3791  2 O 2.14-2.23
Ag: 0.8724 0.7391 0.6209  2 O 2.14-2.23
Hg: 0.3767 0.7819 0.1345  3 O 2.22-2.37
Hg: 0.6233 0.2181 0.8655  3 O 2.22-2.37
O: 0.0000 0.0000 0.0000  2 Ag 2.23, 2 Hg 2.36
O: 0.2035 0.3952 0.7523  1 Ag 2.14, 2 Hg 2.22-2.37
O: 0.7965 0.6048 0.2477  1 Ag 2.14, 2 Hg 2.22-2.37

(12)
The following is a DFT calculation (GGA-PBE) of a relaxed Pr2YNi crystal.

ρ in g/cm3: 6.2
SG: Pnma (62)
DOS(E_F) in states/eV/f.u.: 4.110
DFT formation energy in eV per atom: -0.1782

Cell lengths 7.0468, 10.0953, 6.4219 Å; angles 90.00, 90.00, 90.00 degrees
Last column: nearest neighbours and their distance in Å.
Element x y z (fractional)
Pr: 0.1793 0.0673 0.1752  2 Ni 2.87-2.91
Pr: 0.1793 0.4327 0.1752  2 Ni 2.87-2.91
Pr: 0.3207 0.5673 0.6752  2 Ni 2.87-2.91
Pr: 0.3207 0.9327 0.6752  2 Ni 2.87-2.91
Pr: 0.6793 0.0673 0.3248  2 Ni 2.87-2.91
Pr: 0.6793 0.4327 0.3248  2 Ni 2.87-2.91
Pr: 0.8207 0.5673 0.8248  2 Ni 2.87-2.91
Pr: 0.8207 0.9327 0.8248  2 Ni 2.87-2.91
Y: 0.0363 0.2500 0.6536  2 Ni 2.80-2.81
Y: 0.4637 0.7500 0.1536  2 Ni 2.80-2.81
Y: 0.5363 0.2500 0.8464  2 Ni 2.80-2.81
Y: 0.9637 0.7500 0.3464  2 Ni 2.80-2.81
Ni: 0.1146 0.7500 0.9425  2 Y 2.80-2.81, 4 Pr 2.87-2.91
Ni: 0.3854 0.2500 0.4425  2 Y 2.80-2.81, 4 Pr 2.87-2.91
Ni: 0.6146 0.7500 0.5575  2 Y 2.80-2.81, 4 Pr 2.87-2.91
Ni: 0.8854 0.2500 0.0575  2 Y 2.80-2.81, 4 Pr 2.87-2.91

Computed calculated total energy, in the same sequence as the records: -5.4332 -5.9683 -3.2707 -5.0051 -3.7156 -5.1003 -4.2903 -4.8182 -3.7466 -4.0768 -3.0968 -5.6292 eV per atom.